Entry 1:
A plane-wave DFT calculation with PBE was carried out for a geometry-optimized BeCdReNi2 structure.

As for the crystal system: tetragonal. As for the calculated density: 10.31 g cm⁻³. The calculation puts the total DFT energy (no corrections) at -5.155 eV/atom. As for the formation energy: 0.58 eV/atom. Its total moment is 1.2 μB/cell.

Lattice parameters (Å, degrees): 4.0122 4.2523 4.0122 90.00 90.00 90.00
Last column: nearest neighbours and their distance in Å.
Atoms (fractional coordinates):
1 Ni 0.5000 0.0000 0.0000  2 Be 2.01
2 Ni 0.0000 0.0000 0.5000  2 Be 2.01
3 Be 0.0000 0.0000 0.0000  4 Ni 2.01, 2 Re 2.13
4 Cd 0.5000 0.5000 0.5000  4 Re 2.84, 8 Ni 2.92
5 Re 0.0000 0.5000 0.0000  2 Be 2.13

***

Entry 2:
A plane-wave DFT calculation with PBE was carried out for a geometry-optimized PmPaCu2 structure.

As for the crystal system: tetragonal. As for the calculated density: 10.04 g cm⁻³. The calculation puts the total DFT energy (no corrections) at -5.558 eV/atom. As for the formation energy: 0.05 eV/atom. Its total moment is 0.0 μB/cell.

Lattice parameters (Å, degrees): 3.2318 3.2318 7.9663 90.00 90.00 90.00
Last column: nearest neighbours and their distance in Å.
Atoms (fractional coordinates):
1 Cu 0.0000 0.0000 0.7598  4 Pa 2.98, 4 Pm 3.08, 4 Cu 3.23
2 Cu 0.0000 0.0000 0.2402  4 Pa 2.98, 4 Pm 3.08, 4 Cu 3.23
3 Pa 0.5000 0.5000 0.0000  8 Cu 2.98, 4 Pa 3.23
4 Pm 0.5000 0.5000 0.5000  8 Cu 3.08, 4 Pm 3.23

***

Entry 3:
A plane-wave DFT calculation with PBE was carried out for a geometry-optimized Zr2ReHg structure.

As for the crystal system: monoclinic. As for the calculated density: 10.64 g cm⁻³. The calculation puts the total DFT energy (no corrections) at -7.311 eV/atom. As for the formation energy: 0.15 eV/atom. Its total moment is 0.0 μB/cell.

Lattice parameters (Å, degrees): 4.2433 4.2433 7.1305 81.94 81.94 44.44
Last column: nearest neighbours and their distance in Å.
Atoms (fractional coordinates):
1 Hg 0.7500 0.7500 0.7500  6 Zr 3.07-3.12, 2 Hg 3.21
2 Re 0.2500 0.2500 0.2500  6 Zr 2.64-2.75
3 Zr 0.5041 0.5041 0.4546  3 Re 2.64-2.75
4 Zr 0.9959 0.9959 0.0454  3 Re 2.64-2.75

***

Entry 4:
A plane-wave DFT calculation with PBE was carried out for a geometry-optimized PrPuSnAu structure.

As for the crystal system: cubic. As for the calculated density: 10.70 g cm⁻³. The calculation puts the total DFT energy (no corrections) at -7.105 eV/atom. As for the formation energy: -0.51 eV/atom. Its total moment is 6.2 μB/cell.

Lattice parameters (Å, degrees): 5.3577 5.3577 5.3577 60.00 60.00 60.00
Last column: nearest neighbours and their distance in Å.
Atoms (fractional coordinates):
1 Pr 0.5000 0.5000 0.5000  4 Au 3.28, 4 Sn 3.28
2 Pu 0.0000 0.0000 0.0000  4 Sn 3.28, 4 Au 3.28
3 Au 0.7500 0.7500 0.7500  4 Pr 3.28, 4 Pu 3.28
4 Sn 0.2500 0.2500 0.2500  4 Pr 3.28, 4 Pu 3.28

***

Entry 5:
A plane-wave DFT calculation with PBE was carried out for a geometry-optimized Nd2Co19Si3 structure.

As for the crystal system: monoclinic. As for the calculated density: 8.27 g cm⁻³. The calculation puts the total DFT energy (no corrections) at -6.920 eV/atom. The formation energy from raw total energies is -507 kJ/mol of formula units. Its total moment is 22.4 μB/cell.

Lattice parameters (Å, degrees): 7.5673 7.5673 6.3042 65.63 65.63 80.48
Last column: nearest neighbours and their distance in Å.
Atoms (fractional coordinates):
1 Si 0.5000 0.0000 0.5000  10 Co 2.35-2.56
2 Si 0.0000 0.0000 0.5000  10 Co 2.36-2.58
3 Si 0.0000 0.5000 0.5000  10 Co 2.35-2.56
4 Co 0.3305 0.9214 0.3101  2 Si 2.35-2.38, 7 Co 2.41-2.64
5 Co 0.6701 0.4182 0.6422  9 Co 2.37-2.63, 1 Si 2.37
6 Co 0.1683 0.9202 0.7697  2 Si 2.36-2.38, 7 Co 2.41-2.64
7 Co 0.9202 0.1683 0.7697  2 Si 2.36-2.38, 7 Co 2.41-2.64
8 Co 0.9214 0.3305 0.3101  2 Si 2.35-2.38, 7 Co 2.41-2.64
9 Co 0.5000 0.5000 0.0000  10 Co 2.37-2.54
10 Co 0.0798 0.8317 0.2303  2 Si 2.36-2.38, 7 Co 2.41-2.64
11 Co 0.0786 0.6695 0.6899  2 Si 2.35-2.38, 7 Co 2.41-2.64
12 Co 0.3299 0.5818 0.3578  9 Co 2.37-2.63, 1 Si 2.37
13 Co 0.4182 0.6701 0.6422  9 Co 2.37-2.63, 1 Si 2.37
14 Co 0.1672 0.5812 0.0621  1 Si 2.36, 9 Co 2.40-2.64
15 Co 0.8317 0.0798 0.2303  2 Si 2.36-2.38, 7 Co 2.41-2.64
16 Co 0.8328 0.4188 0.9379  1 Si 2.36, 9 Co 2.40-2.64
17 Co 0.5818 0.3299 0.3578  9 Co 2.37-2.63, 1 Si 2.37
18 Co 0.5812 0.1672 0.0621  1 Si 2.36, 9 Co 2.40-2.64
19 Co 0.4188 0.8328 0.9379  1 Si 2.36, 9 Co 2.40-2.64
20 Co 0.2527 0.2527 0.3745  9 Co 2.54-2.64, 3 Si 2.56-2.58
21 Co 0.6695 0.0786 0.6899  2 Si 2.35-2.38, 7 Co 2.41-2.64
22 Co 0.7473 0.7473 0.6255  9 Co 2.54-2.64, 3 Si 2.56-2.58
23 Nd 0.7474 0.7474 0.1269  19 Co 3.05-3.36, 2 Si 3.40
24 Nd 0.2526 0.2526 0.8731  19 Co 3.05-3.36, 2 Si 3.40

***

Entry 6:
A plane-wave DFT calculation with PBE was carried out for a geometry-optimized CaPr5Au6 structure.

As for the crystal system: monoclinic. As for the calculated density: 10.27 g cm⁻³. The calculation puts the total DFT energy (no corrections) at -4.558 eV/atom. As for the formation energy: -0.76 eV/atom. Its total moment is 0.0 μB/cell.

Lattice parameters (Å, degrees): 5.2867 7.4316 9.1445 66.02 73.25 90.00
Last column: nearest neighbours and their distance in Å.
Atoms (fractional coordinates):
1 Pr 0.3386 0.8388 0.3225  8 Au 3.20-3.27
2 Pr 0.6614 0.1612 0.6775  8 Au 3.20-3.27
3 Pr 0.3324 0.3316 0.3368  8 Au 3.20-3.22
4 Pr 0.6676 0.6684 0.6632  8 Au 3.20-3.22
5 Pr 0.0000 0.5000 0.0000  8 Au 3.20-3.24
6 Ca 0.0000 0.0000 0.0000  8 Au 3.27
7 Au 0.8323 0.0853 0.3364  7 Pr 3.20-3.27, 1 Ca 3.27
8 Au 0.1677 0.9147 0.6636  7 Pr 3.20-3.27, 1 Ca 3.27
9 Au 0.8324 0.5783 0.3364  7 Pr 3.20-3.27, 1 Ca 3.27
10 Au 0.5000 0.7421 0.0000  6 Pr 3.20-3.22, 2 Ca 3.27
11 Au 0.1676 0.4217 0.6636  7 Pr 3.20-3.27, 1 Ca 3.27
12 Au 0.5000 0.2579 0.0000  6 Pr 3.20-3.22, 2 Ca 3.27

***

Which value of total DFT energy (no corrections) does entry 3 give?
-7.311 eV/atom

***

calculated density of number 3 (Zr2ReHg)?
10.64 g cm⁻³